No. 1
## AlSb2Rh2 (PBE)

Data for AlSb2Rh2 after structural relaxation.

Summary:
Energy relative to the elements, uncorrected: -1.096 eV/f.u.
Space-group type: P4/mbm, No. 127
Size of the total moment: 0.000 μB per atom

a b c (Å): 6.7997 6.7997 4.1010
angles (deg): 90.00 90.00 90.00
Atoms (fractional coordinates):
Al1 0.0000 0.0000 0.0000
Al2 0.5000 0.5000 0.0000
Sb1 0.1614 0.3386 0.5000
Sb2 0.3386 0.8386 0.5000
Sb3 0.6614 0.1614 0.5000
Sb4 0.8386 0.6614 0.5000
Rh1 0.1510 0.6510 0.0000
Rh2 0.3490 0.1510 0.0000
Rh3 0.6510 0.8490 0.0000
Rh4 0.8490 0.3490 0.0000



No. 2
## NdErTh2 (PBE)

Data for NdErTh2 after structural relaxation.

Summary:
Distance to the lowest polymorph of the same formula: 4.0 kJ/mol of atoms
Space-group type: P4/mmm, No. 123
Size of the total moment: 0.000 μB per atom

a b c (Å): 3.5611 3.5611 10.2691
angles (deg): 90.00 90.00 90.00
Atoms (fractional coordinates):
Nd1 0.0000 0.0000 0.0000
Er1 0.0000 0.0000 0.5000
Th1 0.5000 0.5000 0.2557
Th2 0.5000 0.5000 0.7443



No. 3
## NaV2Br (PBE)

Data for NaV2Br after structural relaxation.

Summary:
Energy relative to the elements, uncorrected: 2.498 eV/f.u.
Distance to the lowest polymorph of the same formula: 0.0 kJ/mol of atoms
Space-group type: I-42d, No. 122
Size of the total moment: 0.000 μB per atom

a b c (Å): 12.6422 12.6422 12.6422
angles (deg): 163.57 163.57 23.32
Atoms (fractional coordinates):
Na1 0.0000 0.0000 0.0000
Na2 0.7500 0.2500 0.5000
V1 0.1360 0.6250 0.0110
V2 0.3750 0.3860 0.5110
V3 0.6140 0.1250 0.9890
V4 0.8750 0.8640 0.4890
Br1 0.2500 0.7500 0.5000
Br2 0.5000 0.5000 0.0000